First-principles (GGA-PBEsol) data for a relaxed structure of SiNiSe2, as listed in Alexandria via LeMat-Bulk.

```
data_SiNiSe2
_chemical_formula_sum 'Si3 Ni3 Se6'
_symmetry_space_group_name_H-M 'R -3 m'
_symmetry_Int_Tables_number 166
_symmetry_space_group_name_Hall '-R 3 2"'
_cell_length_a 3.5302
_cell_length_b 3.5302
_cell_length_c 21.5678
_cell_angle_alpha 90.00
_cell_angle_beta 90.00
_cell_angle_gamma 120.00
loop_
_atom_site_label
_atom_site_type_symbol
_atom_site_fract_x
_atom_site_fract_y
_atom_site_fract_z
Si1 Si 0.0000 0.0000 0.0000
Ni1 Ni 0.0000 0.0000 0.5000
Se1 Se 0.0000 0.0000 0.3984
```

Properties
E in eV per atom: -4.831
Formation energy from raw total energies in eV per atom: 0.07